Entry 1:
Density functional theory data (PBE) for a relaxed structure of PmHoPd6.

a = 4.154 Å, b = 4.154 Å, c = 8.286 Å
α = 90.00°, β = 90.00°, γ = 90.00°
Atoms (fractional coordinates):
Pd: 0.500 0.500 0.000
Pd: 0.500 0.500 0.500
Pd: 0.000 0.500 0.256
Pd: 0.500 0.000 0.744
Pd: 0.500 0.000 0.256
Pd: 0.000 0.500 0.744
Ho: 0.000 0.000 0.500
Pm: 0.000 0.000 0.000

Computed properties:
V = 142.9 Å³/cell
formation energy from the elements = -81 kJ/mol of atoms

***

Entry 2:
Density functional theory data (PBE) for a relaxed structure of AcTb4PmDy2.

a = 5.144 Å, b = 5.116 Å, c = 11.420 Å
α = 63.37°, β = 90.00°, γ = 90.00°
Atoms (fractional coordinates):
Tb: 0.500 0.257 0.743
Tb: 0.000 0.244 0.256
Tb: 0.000 0.756 0.744
Tb: 0.500 0.743 0.257
Dy: 0.500 0.000 0.500
Dy: 0.000 0.000 0.000
Ac: 0.500 0.500 0.000
Pm: 0.000 0.500 0.500

Computed properties:
V = 268.6 Å³/cell
formation energy from the elements = 4 kJ/mol of atoms

***

Entry 3:
Density functional theory data (PBE) for a relaxed structure of CaTh2NpN4.

a = 5.064 Å, b = 5.064 Å, c = 6.202 Å
α = 114.10°, β = 114.10°, γ = 90.00°
Each line ends with the local moment (μB).
Atoms (fractional coordinates):
N: 0.247 0.247 0.494  -0.08
N: 0.753 0.753 0.506  -0.08
N: 0.510 0.010 0.020  -0.06
N: 0.990 0.490 0.980  -0.06
Np: 0.750 0.250 0.500  3.35
Th: 0.250 0.750 0.500  0.12
Th: 0.000 0.000 0.000  0.10
Ca: 0.500 0.500 0.000  0.01

Computed properties:
V = 129.8 Å³/cell
raw formation energy = -1.315 eV/atom